# 1
Computed, not measured: crystalline Ac2TbHo at its relaxed geometry at the PBE level of DFT.

For the energy relative to the elements, the calculation gives 5 kJ per mole of atoms. The magnetic moment comes out at 0.003 μB per cell. The calculation puts the polymorph energy (0 for the lowest one) at 7 meV per atom. The value obtained for the volume is 150.5 Å³/f.u.

It has space group Amm2 (No. 38), with a = 3.870 Å, b = 10.065 Å, c = 7.730 Å, α = 90.00°, β = 90.00° and γ = 90.00°. The asymmetric unit holds Ac at (0.000, 0.249, 0.000), Tb at (0.500, 0.000, 0.251) and Ho at (0.500, 0.000, 0.749).

=====

# 2
Computed, not measured: crystalline AcTb3Ho7 at its relaxed geometry at the PBE level of DFT.

For the energy relative to the elements, the calculation gives 21 kJ per mole of atoms. The magnetic moment comes out at 0.000 μB per cell. The calculation puts the polymorph energy (0 for the lowest one) at 63 meV per atom. The value obtained for the volume is 376.8 Å³/f.u.

It has space group P3m1 (No. 156), with a = 7.0825 Å, b = 7.0825 Å, c = 8.6727 Å, α = 90.00°, β = 90.00° and γ = 120.00°. The asymmetric unit holds Ac at (0.0000, 0.0000, 0.0000), Tb at (0.1684, 0.3367, 0.6593), Ho at (0.0025, 0.5012, 0.0002), Ho at (0.3333, 0.6667, 0.3287) and Ho at (0.3336, 0.1668, 0.3325).

=====

# 3
Computed, not measured: crystalline Ac4TbHo at its relaxed geometry at the PBE level of DFT.

For the energy relative to the elements, the calculation gives 14 kJ per mole of atoms. The magnetic moment comes out at 0.000 μB per cell. The calculation puts the polymorph energy (0 for the lowest one) at 0 meV per atom. The value obtained for the volume is 241.2 Å³/f.u.

It has space group P-1 (No. 2), with a = 3.753 Å, b = 6.163 Å, c = 10.511 Å, α = 89.80°, β = 89.31° and γ = 82.87°. The asymmetric unit holds Ac at (0.216, 0.033, 0.161), Ac at (0.278, 0.466, 0.664), Tb at (0.000, 0.000, 0.500) and Ho at (0.500, 0.500, 0.000).

=====

# 4
Computed, not measured: crystalline Ac2TbHo at its relaxed geometry at the PBE level of DFT.

For the energy relative to the elements, the calculation gives 5 kJ per mole of atoms. The magnetic moment comes out at 0.000 μB per cell. The calculation puts the polymorph energy (0 for the lowest one) at 5 meV per atom. The value obtained for the volume is 150.2 Å³/f.u.

It has space group P4/mmm (No. 123), with a = 3.881 Å, b = 3.881 Å, c = 9.971 Å, α = 90.00°, β = 90.00° and γ = 90.00°. The asymmetric unit holds Ac at (0.000, 0.000, 0.249), Tb at (0.500, 0.500, 0.500) and Ho at (0.500, 0.500, 0.000).

=====

# 5
Computed, not measured: crystalline AcTb8Ho3 at its relaxed geometry at the PBE level of DFT.

For the energy relative to the elements, the calculation gives 3 kJ per mole of atoms. The magnetic moment comes out at 0.000 μB per cell. The value obtained for the volume is 395.9 Å³/f.u.

It has space group P1 (No. 1), with a = 6.319 Å, b = 8.519 Å, c = 8.530 Å, α = 79.94°, β = 68.27° and γ = 68.30°. The asymmetric unit holds Ac at (0.000, 0.000, 0.000), Tb at (0.420, 0.578, 0.913), Tb at (0.420, 0.914, 0.577), Tb at (0.496, 0.170, 0.830), Tb at (0.496, 0.829, 0.170), Tb at (0.911, 0.087, 0.422), Tb at (0.911, 0.423, 0.086), Tb at (0.998, 0.337, 0.663), Tb at (0.998, 0.663, 0.337), Ho at (0.409, 0.253, 0.252), Ho at (0.496, 0.500, 0.500) and Ho at (0.914, 0.748, 0.747).

=====

# 6
Computed, not measured: crystalline Ac2TbHo4 at its relaxed geometry at the PBE level of DFT.

For the energy relative to the elements, the calculation gives 10 kJ per mole of atoms. The magnetic moment comes out at 0.000 μB per cell. The value obtained for the volume is 247.2 Å³/f.u.

It has space group Cmmm (No. 65), with a = 3.627 Å, b = 37.481 Å, c = 3.636 Å, α = 90.00°, β = 90.00° and γ = 90.00°. The asymmetric unit holds Ac at (0.000, 0.204, 0.000), Tb at (0.000, 0.500, 0.500), Ho at (0.000, 0.065, 0.000) and Ho at (0.000, 0.370, 0.500).

=====

Please write out number 4 again, unchanged.
Computed, not measured: crystalline Ac2TbHo at its relaxed geometry at the PBE level of DFT.

For the energy relative to the elements, the calculation gives 5 kJ per mole of atoms. The magnetic moment comes out at 0.000 μB per cell. The calculation puts the polymorph energy (0 for the lowest one) at 5 meV per atom. The value obtained for the volume is 150.2 Å³/f.u.

It has space group P4/mmm (No. 123), with a = 3.881 Å, b = 3.881 Å, c = 9.971 Å, α = 90.00°, β = 90.00° and γ = 90.00°. The asymmetric unit holds Ac at (0.000, 0.000, 0.249), Tb at (0.500, 0.500, 0.500) and Ho at (0.500, 0.500, 0.000).

=====

Question: magnetic moment of number 6 (Ac2TbHo4)?
Answer: 0.000 μB per cell